[1]
NdTm3Sc3 | PBE | optimized geometry Values from VASP.

Structure (Quantum ESPRESSO input):
```
&SYSTEM
  ibrav = 0, nat = 14, ntyp = 3
/
ATOMIC_SPECIES
Tm 168.93 Tm.upf
Nd 144.24 Nd.upf
Sc 44.96 Sc.upf
ATOMIC_POSITIONS crystal
Tm 0.726 0.570 0.064
Nd 0.350 0.350 0.350
Sc 0.833 0.063 0.277
Sc 0.167 0.937 0.723
Sc 0.937 0.723 0.167
Tm 0.570 0.064 0.726
Nd 0.650 0.650 0.650
Tm 0.430 0.936 0.274
Tm 0.064 0.726 0.570
Tm 0.936 0.274 0.430
Sc 0.063 0.277 0.833
Sc 0.277 0.833 0.063
Tm 0.274 0.430 0.936
Sc 0.723 0.167 0.937
CELL_PARAMETERS angstrom
7.487 0.409 3.887
2.538 7.055 3.887
0.549 0.409 8.417
```

calculated formation energy = 0.188 eV per atom
energy relative to the lowest polymorph listed for this composition = 0.0 meV/atom
M_tot = 0.00 μB per cell



[2]
K3Mg3Tl8 | PBE | optimized geometry Values from VASP.

Structure (Quantum ESPRESSO input):
```
&SYSTEM
  ibrav = 0, nat = 14, ntyp = 3
/
ATOMIC_SPECIES
Tl 204.38 Tl.upf
K 39.10 K.upf
Mg 24.30 Mg.upf
ATOMIC_POSITIONS crystal
Tl 0.625 0.082 0.668
K 0.211 0.789 0.789
K 0.500 0.500 0.500
Mg 0.000 0.172 0.828
Tl 0.625 0.668 0.082
Tl 0.163 0.482 0.192
Tl 0.163 0.192 0.482
Tl 0.837 0.518 0.808
Tl 0.375 0.332 0.918
Mg 0.500 0.000 0.000
Mg 0.000 0.828 0.172
Tl 0.837 0.808 0.518
Tl 0.375 0.918 0.332
K 0.789 0.211 0.211
CELL_PARAMETERS angstrom
-1.246 -0.893 4.986
-9.086 -3.584 -0.184
0.540 -9.689 1.129
```

calculated formation energy = -0.054 eV per atom
M_tot = 0.00 μB per cell



[3]
Ca2AlCo | PBE | optimized geometry Values from VASP.

Structure (Quantum ESPRESSO input):
```
&SYSTEM
  ibrav = 0, nat = 4, ntyp = 3
/
ATOMIC_SPECIES
Co 58.93 Co.upf
Ca 40.08 Ca.upf
Al 26.98 Al.upf
ATOMIC_POSITIONS crystal
Co 0.500 0.500 0.000
Ca 0.000 0.000 0.000
Al 0.750 0.250 0.500
Ca 0.250 0.750 0.500
CELL_PARAMETERS angstrom
-1.140 -4.433 -1.780
3.789 -1.951 2.439
-3.382 2.621 2.410
```

calculated formation energy = 0.211 eV per atom
M_tot = 1.58 μB per cell



[4]
CrCuHg2N | PBE | optimized geometry Values from VASP.

Structure (Quantum ESPRESSO input):
```
&SYSTEM
  ibrav = 0, nat = 5, ntyp = 4
/
ATOMIC_SPECIES
N 14.01 N.upf
Cr 52.00 Cr.upf
Cu 63.55 Cu.upf
Hg 200.59 Hg.upf
ATOMIC_POSITIONS crystal
N 0.000 0.500 0.000
Cr 0.500 0.500 0.500
Cu 0.000 0.000 0.000
Hg 0.000 0.000 0.500
Hg 0.500 0.000 0.000
CELL_PARAMETERS angstrom
-4.344 -0.454 3.113
1.433 -2.721 1.602
2.233 3.293 3.596
```

raw formation energy = 911 meV per atom
M_tot = 5.55 μB per cell



[5]
TbPuPdRu | PBE | optimized geometry Values from VASP.

Structure (Quantum ESPRESSO input):
```
&SYSTEM
  ibrav = 0, nat = 4, ntyp = 4
/
ATOMIC_SPECIES
Tb 158.93 Tb.upf
Pd 106.42 Pd.upf
Ru 101.07 Ru.upf
Pu 244.00 Pu.upf
ATOMIC_POSITIONS crystal
Tb 0.500 0.500 0.500
Pd 0.250 0.250 0.250
Ru 0.750 0.750 0.750
Pu 0.000 0.000 0.000
CELL_PARAMETERS angstrom
4.885 0.000 0.000
2.443 4.231 0.000
2.443 1.410 3.989
```

calculated formation energy = -0.391 eV per atom
M_tot = 4.66 μB per cell



[6]
YSbW2 | PBE | optimized geometry Values from VASP.

Structure (Quantum ESPRESSO input):
```
&SYSTEM
  ibrav = 0, nat = 4, ntyp = 3
/
ATOMIC_SPECIES
W 183.84 W.upf
Sb 121.76 Sb.upf
Y 88.91 Y.upf
ATOMIC_POSITIONS crystal
W 0.000 0.000 0.000
Sb 0.750 0.250 0.500
W 0.500 0.500 0.000
Y 0.250 0.750 0.500
CELL_PARAMETERS angstrom
-4.244 0.536 -3.766
-3.627 -4.322 -0.803
2.240 2.933 4.343
```

raw formation energy = 510 meV per atom
M_tot = 0.00 μB per cell



[7]
Ta3BeGa | PBE | optimized geometry Values from VASP.

Structure (Quantum ESPRESSO input):
```
&SYSTEM
  ibrav = 0, nat = 5, ntyp = 3
/
ATOMIC_SPECIES
Ta 180.95 Ta.upf
Be 9.01 Be.upf
Ga 69.72 Ga.upf
ATOMIC_POSITIONS crystal
Ta 0.000 0.500 0.000
Ta 0.500 0.000 0.000
Be 0.000 0.000 0.000
Ga 0.500 0.500 0.500
Ta 0.000 0.000 0.500
CELL_PARAMETERS angstrom
4.391 0.000 0.000
0.000 4.391 0.000
0.000 0.000 4.391
```

calculated formation energy = 0.424 eV per atom
energy relative to the lowest polymorph listed for this composition = 232.7 meV/atom
M_tot = 0.00 μB per cell



[8]
TaZnTeI2 | PBE | optimized geometry Values from VASP.

Structure (Quantum ESPRESSO input):
```
&SYSTEM
  ibrav = 0, nat = 5, ntyp = 4
/
ATOMIC_SPECIES
Zn 65.41 Zn.upf
Te 127.60 Te.upf
I 126.90 I.upf
Ta 180.95 Ta.upf
ATOMIC_POSITIONS crystal
Zn 0.000 0.000 0.000
Te 0.000 0.000 0.500
I 0.500 0.000 0.000
Ta 0.500 0.500 0.500
I 0.000 0.500 0.000
CELL_PARAMETERS angstrom
-0.624 -0.003 -5.285
-4.075 -3.388 0.483
-3.426 4.177 0.402
```

energy relative to the lowest polymorph listed for this composition = 779.1 meV/atom
raw formation energy = 1005 meV per atom
M_tot = 2.73 μB per cell



[9]
Pr3ZnPd4 | PBE | optimized geometry Values from VASP.

Structure (Quantum ESPRESSO input):
```
&SYSTEM
  ibrav = 0, nat = 8, ntyp = 3
/
ATOMIC_SPECIES
Pd 106.42 Pd.upf
Zn 65.41 Zn.upf
Pr 140.91 Pr.upf
ATOMIC_POSITIONS crystal
Pd 0.378 0.606 0.755
Zn 0.500 0.000 0.000
Pr 0.800 0.800 0.601
Pd 0.622 0.394 0.245
Pr 0.200 0.200 0.399
Pr 0.000 0.500 0.000
Pd 0.622 0.851 0.245
Pd 0.378 0.149 0.755
CELL_PARAMETERS angstrom
-1.258 3.733 1.612
0.914 -2.022 5.394
7.643 1.782 -3.781
```

calculated formation energy = -0.621 eV per atom
M_tot = 0.00 μB per cell



[10]
Si2AgSb | PBE | optimized geometry Values from VASP.

Structure (Quantum ESPRESSO input):
```
&SYSTEM
  ibrav = 0, nat = 4, ntyp = 3
/
ATOMIC_SPECIES
Si 28.09 Si.upf
Ag 107.87 Ag.upf
Sb 121.76 Sb.upf
ATOMIC_POSITIONS crystal
Si 0.000 0.000 0.045
Ag 0.500 0.500 0.250
Si 0.000 0.000 0.455
Sb 0.500 0.500 0.750
CELL_PARAMETERS angstrom
-1.004 1.205 3.220
-0.151 -3.367 1.213
5.860 0.349 1.696
```

raw formation energy = 476 meV per atom
M_tot = 0.00 μB per cell



[11]
GeIO2F | PBE | optimized geometry Values from VASP.

Structure (Quantum ESPRESSO input):
```
&SYSTEM
  ibrav = 0, nat = 5, ntyp = 4
/
ATOMIC_SPECIES
I 126.90 I.upf
O 16.00 O.upf
F 19.00 F.upf
Ge 72.64 Ge.upf
ATOMIC_POSITIONS crystal
I 0.500 0.500 0.500
O 0.500 0.000 0.000
F 0.000 0.000 0.500
O 0.000 0.500 0.000
Ge 0.000 0.000 0.000
CELL_PARAMETERS angstrom
-1.558 3.698 0.206
-0.266 -0.335 3.995
3.848 1.600 0.391
```

raw formation energy = -510 meV per atom
M_tot = 0.99 μB per cell



[12]
Rb3BaSb2O6 | PBE | optimized geometry Values from VASP.

Structure (Quantum ESPRESSO input):
```
&SYSTEM
  ibrav = 0, nat = 12, ntyp = 4
/
ATOMIC_SPECIES
Rb 85.47 Rb.upf
Sb 121.76 Sb.upf
O 16.00 O.upf
Ba 137.33 Ba.upf
ATOMIC_POSITIONS crystal
Rb 0.000 0.000 0.000
Sb 0.667 0.333 0.820
O 0.819 0.638 0.711
O 0.362 0.181 0.711
O 0.181 0.362 0.289
Rb 0.667 0.333 0.349
Ba 0.000 0.000 0.500
O 0.638 0.819 0.289
Sb 0.333 0.667 0.180
O 0.181 0.819 0.289
Rb 0.333 0.667 0.651
O 0.819 0.181 0.711
CELL_PARAMETERS angstrom
6.643 0.000 0.000
-3.321 5.753 0.000
0.000 0.000 7.689
```

raw formation energy = -1663 meV per atom
M_tot = 1.04 μB per cell



Number 1: E_tot -5.12 eV per atom. Number 2: E_tot -1.98 eV per atom. Number 3: E_tot -3.50 eV per atom. Number 4: E_tot -3.62 eV per atom. Number 5: E_tot -8.75 eV per atom. Number 6: E_tot -8.61 eV per atom. Number 7: E_tot -8.04 eV per atom. Number 8: E_tot -2.87 eV per atom. Number 9: E_tot -5.17 eV per atom. Number 10: E_tot -3.98 eV per atom. Number 11: E_tot -4.10 eV per atom. Number 12: E_tot -5.23 eV per atom.